[1]
A plane-wave DFT calculation with PBE was carried out for crystalline NdTmAsO at its relaxed geometry.

```
8
Lattice="-0.243 -0.771 -4.030 4.973 -6.283 0.902 -4.403 -3.354 0.907" Properties=species:S:1:pos:R:3 pbc="T T T"
As 2.371 -6.873 1.172
As -3.429 -4.004 0.972
Nd 0.903 -5.880 -1.026
Nd -2.522 -6.011 -0.794
O -0.325 -3.780 -1.353
O -0.753 -7.699 -0.578
Tm -0.886 -2.791 0.587
Tm -0.204 -8.110 1.564
```

Results
ρ, g cm⁻³: 7.2
E above lowest polymorph, kJ/mol of atoms: 7.43
DFT total energy, eV per atom: -6.616

[2]
A plane-wave DFT calculation with PBE was carried out for crystalline NdTmAsO at its relaxed geometry.

```
8
Lattice="4.337 0.000 0.000 0.000 7.430 0.000 0.000 0.000 6.120" Properties=species:S:1:pos:R:3 pbc="T T T"
As 0.000 6.050 2.607
As 0.000 1.380 5.667
Nd 0.000 1.513 2.654
Nd 0.000 5.917 5.714
O 2.168 2.534 2.275
O 2.168 4.896 5.335
Tm 2.168 2.927 0.140
Tm 2.168 4.503 3.200
```

Results
ρ, g cm⁻³: 6.8
E above lowest polymorph, kJ/mol of atoms: 0.00
DFT total energy, eV per atom: -6.693

[3]
A plane-wave DFT calculation with PBE was carried out for crystalline NdYZn2As2O2 at its relaxed geometry.

```
8
Lattice="4.003 0.000 0.000 0.000 4.003 0.000 0.000 0.000 8.963" Properties=species:S:1:pos:R:3 pbc="T T T"
As 0.000 0.000 2.869
As 2.002 2.002 6.090
Nd 0.000 0.000 7.788
O 2.002 0.000 0.049
O 0.000 2.002 0.049
Y 2.002 2.002 1.100
Zn 2.002 0.000 4.472
Zn 0.000 2.002 4.472
```

Results
ρ, g cm⁻³: 6.3
DFT total energy, eV per atom: -5.918

[4]
A plane-wave DFT calculation with PBE was carried out for crystalline NdZrAsO at its relaxed geometry.

```
8
Lattice="4.129 0.000 0.000 0.000 7.479 0.000 0.000 0.000 6.022" Properties=species:S:1:pos:R:3 pbc="T T T"
As 0.000 6.176 2.673
As 0.000 1.303 5.685
Nd 0.000 1.628 2.701
Nd 0.000 5.850 5.712
O 2.065 2.621 2.129
O 2.065 4.858 5.141
Zr 2.065 2.941 0.048
Zr 2.065 4.537 3.059
```

Results
ρ, g cm⁻³: 5.8
E above lowest polymorph, kJ/mol of atoms: 20.64
DFT total energy, eV per atom: -7.460

[5]
A plane-wave DFT calculation with PBE was carried out for crystalline NdZrAsO at its relaxed geometry.

```
8
Lattice="4.167 0.000 0.000 0.000 4.167 0.000 0.000 0.000 8.688" Properties=species:S:1:pos:R:3 pbc="T T T"
As 0.000 2.083 2.175
As 2.083 0.000 6.513
Nd 0.000 0.000 4.344
Nd 2.083 2.083 4.344
O 0.000 0.000 0.000
O 2.083 2.083 0.000
Zr 2.083 0.000 0.862
Zr 0.000 2.083 7.827
```

Results
ρ, g cm⁻³: 7.2
E above lowest polymorph, kJ/mol of atoms: 54.96
DFT total energy, eV per atom: -7.104

[6]
A plane-wave DFT calculation with PBE was carried out for crystalline NdZrAsO at its relaxed geometry.

```
8
Lattice="-0.775 0.015 -3.867 -6.007 -3.710 1.190 -3.366 5.673 0.696" Properties=species:S:1:pos:R:3 pbc="T T T"
As -3.345 0.643 0.673
As -6.698 2.449 1.352
Nd -5.830 -3.002 -0.854
Nd -2.940 2.658 -1.412
O -6.538 -0.726 -0.704
O -4.589 4.354 -1.075
Zr -5.842 -0.014 1.171
Zr -4.969 4.401 1.013
```

Results
ρ, g cm⁻³: 5.8
E above lowest polymorph, kJ/mol of atoms: 37.08
DFT total energy, eV per atom: -7.289

[7]
A plane-wave DFT calculation with PBE was carried out for crystalline NdZrAsO at its relaxed geometry.

```
8
Lattice="-0.696 -2.362 3.457 2.782 -2.880 -1.407 6.650 4.327 4.295" Properties=species:S:1:pos:R:3 pbc="T T T"
As 3.454 -0.098 0.629
As 4.239 1.804 4.691
Nd 0.449 -0.662 2.243
Nd 7.244 2.368 3.076
O 0.000 0.000 0.000
O 1.043 -2.621 1.025
Zr 3.325 2.163 2.147
Zr 4.368 -0.457 3.172
```

Results
ρ, g cm⁻³: 6.7
E above lowest polymorph, kJ/mol of atoms: 0.00
DFT total energy, eV per atom: -7.674

[8]
A plane-wave DFT calculation with PBE was carried out for crystalline NdAsOs at its relaxed geometry.

```
3
Lattice="0.406 -4.302 -1.934 -3.238 -3.327 0.928 -3.020 -1.371 -3.378" Properties=species:S:1:pos:R:3 pbc="T T T"
As -1.463 -2.250 -1.096
Nd 0.000 0.000 0.000
Os -4.389 -6.751 -3.288
```

Results
ρ, g cm⁻³: 9.1
DFT total energy, eV per atom: -6.078